! AlInAg2 PBE-GGA optimized geometry; values from VASP
! Energy of formation from the pure elements   0.1 eV/f.u.
! Electronic total energy   -3.028 eV per atom
! Symmetry   P4/mmm
! V   76.9 Å³/cell
&SYSTEM
  ibrav = 0, nat = 4, ntyp = 3
/
ATOMIC_SPECIES
Ag 107.87 Ag.upf
In 114.82 In.upf
Al 26.98 Al.upf
CELL_PARAMETERS angstrom
-1.7150 -0.4294 -2.4337
0.8524 -2.8833 -0.0919
-6.5563 -2.0973 4.9903
ATOMIC_POSITIONS angstrom
Ag -0.2282 -0.0730 0.1737
In -5.3485 -3.2293 2.4800
Al -2.0704 -2.1807 -0.0152
Ag -3.0499 -0.9756 2.3215